Below is a relaxed CsC crystal, with properties calculated at the PBE level.

Cell: 6.296 6.296 6.296 Å, 52.37 52.37 52.37°
Element x y z (fractional)
Cs  0.249  0.249  0.249
Cs  0.751  0.751  0.751
C  0.039  0.039  0.039
C  0.961  0.961  0.961

calculated volume	144.82	Å³ per cell
total DFT energy (no corrections)	-18.9	eV for the cell shown
distance to the lowest polymorph of the same formula	0	kJ/mol of formula units
SG	No. 166